First-principles (PBE with a Hubbard U) data for a relaxed structure of MnTlO, as listed in Alexandria.

Lattice parameters (Å, degrees): 3.536 3.536 11.371 97.99 97.99 60.71
Positions (direct):
1 Mn 0.136 0.136 0.394
2 Mn 0.864 0.864 0.606
3 Tl 0.374 0.374 0.132
4 Tl 0.626 0.626 0.868
5 O 0.198 0.198 0.599
6 O 0.802 0.802 0.401

Output
density	7.47	g cm⁻³
density of states at the Fermi level	2.325	states/eV per cell
raw total energy	-5.857	eV/atom
M_tot	4.84	μB/f.u.
volume	20.40	A^3/atom
symmetry	No. 12